# Sr2BeSb PBE relaxed
data_Sr2BeSb
_space_group_name_H-M_alt 'P 1'
_space_group_IT_number 1
_space_group_name_Hall 'P 1'
_cell_length_a 4.0107
_cell_length_b 4.0107
_cell_length_c 7.5574
_cell_angle_alpha 90.00
_cell_angle_beta 90.00
_cell_angle_gamma 90.00
loop_
_atom_site_label
_atom_site_fract_x
_atom_site_fract_y
_atom_site_fract_z
Sb1 0.5000 0.5000 0.7500
Be1 0.5000 0.5000 0.2500
Sr1 0.0000 0.0000 0.0057
Sr2 0.0000 0.0000 0.4943
# Calculated total energy in eV per atom: -2.959
# DOS(E_F) in states/eV/cell: 1.7
# Formation energy (no corrections) in eV per atom: -0.156
# Calculated volume in Å³/cell: 122

# Ba2Cd6NiPt PBE relaxed
data_Ba2Cd6NiPt
_space_group_name_H-M_alt 'P 1'
_space_group_IT_number 1
_space_group_name_Hall 'P 1'
_cell_length_a 7.3606
_cell_length_b 7.3621
_cell_length_c 7.3744
_cell_angle_alpha 59.99
_cell_angle_beta 60.00
_cell_angle_gamma 89.98
loop_
_atom_site_label
_atom_site_fract_x
_atom_site_fract_y
_atom_site_fract_z
Ba1 0.7501 0.2501 0.4998
Ba2 0.2499 0.7500 0.5002
Cd1 0.2428 0.2428 0.5143
Cd2 0.7572 0.7573 0.0000
Cd3 0.2429 0.7572 0.0000
Cd4 0.7571 0.2428 0.0000
Cd5 0.2428 0.2427 0.0000
Cd6 0.7572 0.7572 0.4857
Ni1 0.0000 0.0000 0.0000
Pt1 0.5000 0.5000 0.0000
# Calculated total energy in eV per atom: -2.390
# DOS(E_F) in states/eV/cell: 5.8
# Calculated volume in Å³/cell: 283

# ScP3Rh PBE relaxed
data_ScP3Rh
_space_group_name_H-M_alt 'P 1'
_space_group_IT_number 1
_space_group_name_Hall 'P 1'
_cell_length_a 4.6030
_cell_length_b 4.6030
_cell_length_c 4.6030
_cell_angle_alpha 90.00
_cell_angle_beta 90.00
_cell_angle_gamma 90.00
loop_
_atom_site_label
_atom_site_fract_x
_atom_site_fract_y
_atom_site_fract_z
Sc1 0.5000 0.5000 0.5000
P1 0.0000 0.5000 0.0000
P2 0.0000 0.0000 0.5000
P3 0.5000 0.0000 0.0000
Rh1 0.0000 0.0000 0.0000
# Calculated total energy in eV per atom: -5.782
# DOS(E_F) in states/eV/cell: 6.1
# Calculated volume in Å³/cell: 98

# HoGa4Co4 PBE relaxed
data_HoGa4Co4
_space_group_name_H-M_alt 'P 1'
_space_group_IT_number 1
_space_group_name_Hall 'P 1'
_cell_length_a 5.4967
_cell_length_b 5.4967
_cell_length_c 8.6897
_cell_angle_alpha 90.00
_cell_angle_beta 90.00
_cell_angle_gamma 90.00
loop_
_atom_site_label
_atom_site_fract_x
_atom_site_fract_y
_atom_site_fract_z
Ho1 0.0000 0.0000 0.0000
Ho2 0.5000 0.5000 0.5000
Ga1 0.5000 0.7741 0.8002
Ga2 0.5000 0.2259 0.8002
Ga3 0.7741 0.5000 0.1998
Ga4 0.2259 0.5000 0.1998
Ga5 0.2741 0.0000 0.3002
Ga6 0.7259 0.0000 0.3002
Ga7 0.0000 0.2741 0.6998
Ga8 0.0000 0.7259 0.6998
Co1 0.2140 0.5000 0.9170
Co2 0.7860 0.5000 0.9170
Co3 0.5000 0.7860 0.0830
Co4 0.5000 0.2140 0.0830
Co5 0.0000 0.7140 0.4170
Co6 0.0000 0.2860 0.4170
Co7 0.2860 0.0000 0.5830
Co8 0.7140 0.0000 0.5830
# Calculated total energy in eV per atom: -5.298
# DOS(E_F) in states/eV/cell: 12.3
# Calculated volume in Å³/cell: 263